[1]
Entry from Alexandria: a relaxed structure of Re2S2O13 (GGA-PBEsol).

uncorrected formation energy	-2157	kJ/mol of formula units
excess energy over the best structure of this formula in the dataset	0.19	eV per formula unit
total magnetization	0.116	μB per formula unit
density of states at the Fermi level	0.00	states/eV/cell

```
68
Lattice="-0.364 -2.583 -6.692 6.707 -3.362 0.934 -7.840 -14.020 5.838" Properties=species:S:1:pos:R:3 pbc="T T T"
S 5.762 -3.580 -0.858
S 0.581 -2.366 -4.900
S -3.339 -9.376 -1.981
S 1.842 -10.590 2.061
S 3.095 -7.077 -0.329
S -0.763 -6.526 -4.186
S -0.734 -13.440 4.266
S -4.592 -12.889 0.409
O -0.766 -14.343 5.556
O 3.713 -6.903 -4.164
O -1.359 -5.761 -3.150
O 4.072 -6.647 -1.487
O -5.210 -13.063 4.244
O 2.087 -12.050 1.917
O 2.170 -3.550 0.463
O -3.617 -10.215 3.058
O -6.146 -15.922 1.783
O -2.005 -12.801 4.094
O 4.445 -4.302 -4.362
O 1.282 -10.065 0.804
O -2.779 -9.901 -0.724
O 0.525 -11.312 -1.443
O -1.720 -16.195 1.409
O 2.975 -8.609 -0.669
O 1.899 -1.643 -1.396
O 0.223 -3.771 -1.329
O -1.369 -6.619 -0.143
O 2.121 -9.751 -2.978
O -0.137 -14.205 3.230
O -0.614 -2.606 -4.048
O 1.824 -6.441 -0.510
O -7.569 -15.391 -0.123
O 3.814 -6.971 0.891
O -0.882 -17.360 4.128
O -5.569 -13.319 1.567
O 0.361 -8.643 -1.327
O -1.858 -11.323 1.407
O -0.731 -5.622 -5.476
O -1.828 -7.585 -4.658
O -3.321 -13.524 0.590
O -3.583 -7.915 -1.837
O 3.103 -9.884 2.414
O 2.377 -5.037 -2.828
O -3.666 -16.415 -0.383
O 4.649 -4.044 -1.703
O -0.127 -13.347 0.223
O -5.311 -12.995 -0.810
O 1.039 -3.617 -5.526
O -4.600 -10.081 -2.334
O 6.072 -4.575 0.203
O -1.650 -12.810 -1.885
O -3.874 -14.929 2.908
O 0.508 -7.165 -4.014
O 0.153 -7.156 1.965
O 0.831 -10.328 3.099
O -2.536 -16.349 5.606
O -4.471 -11.356 0.749
O 0.331 -12.381 4.738
O -2.328 -9.638 -3.019
O -2.022 -8.653 1.523
Re -3.118 -10.176 1.435
Re -2.368 -17.293 0.287
Re -0.027 -13.108 -1.456
Re 0.872 -2.672 -0.207
Re 1.621 -9.790 -1.354
Re -1.469 -6.858 1.536
Re -5.459 -14.361 3.178
Re 3.962 -5.604 -3.098
```



[2]
Entry from Alexandria: a relaxed structure of TiRe2SO (GGA-PBEsol).

uncorrected formation energy	1042	kJ/mol of formula units
total magnetization	1.386	μB per formula unit
density of states at the Fermi level	5.59	states/eV/cell

```
5
Lattice="4.317 0.000 0.000 0.000 4.578 0.000 0.000 0.000 4.578" Properties=species:S:1:pos:R:3 pbc="T T T"
O 2.159 2.289 2.289
Ti 0.000 0.000 0.000
Re 0.000 2.289 0.000
Re 0.000 0.000 2.289
S 2.159 0.000 0.000
```



[3]
Entry from Alexandria: a relaxed structure of ReSbO6 (GGA-PBEsol).

uncorrected formation energy	-1040	kJ/mol of formula units
total magnetization	0.000	μB per formula unit
density of states at the Fermi level	0.00	states/eV/cell

```
16
Lattice="-2.364 1.945 4.109 -4.632 -0.107 -2.619 -1.242 -6.731 2.472" Properties=species:S:1:pos:R:3 pbc="T T T"
O -3.663 -4.853 1.014
O -2.635 -2.429 1.634
O -3.449 -2.205 4.135
O -6.276 -0.625 0.502
O -4.302 -0.051 -1.142
O -6.091 -5.114 3.300
O -4.575 -0.041 2.948
O -3.936 -4.843 5.104
O -2.147 0.220 0.662
O -4.789 -2.689 -0.173
O -1.962 -4.269 3.460
O -5.602 -2.465 2.328
Re -1.182 0.972 2.055
Re -1.803 -2.393 3.290
Sb -2.316 -0.054 -1.309
Sb -2.937 -3.419 -0.074
```



[4]
Entry from Alexandria: a relaxed structure of Ta2ReSbO (GGA-PBEsol).

uncorrected formation energy	783	kJ/mol of formula units
total magnetization	0.001	μB per formula unit
density of states at the Fermi level	4.90	states/eV/cell

```
5
Lattice="-3.419 -1.546 0.222 1.494 -2.719 4.069 -1.513 3.790 3.088" Properties=species:S:1:pos:R:3 pbc="T T T"
Ta 0.747 -1.360 2.035
Ta -0.756 1.895 1.544
Sb 0.000 0.000 0.000
Re -1.719 -0.238 3.690
O -1.710 -0.773 0.111
```



[5]
Entry from Alexandria: a relaxed structure of Sc3ReO (GGA-PBEsol).

uncorrected formation energy	-586	kJ/mol of formula units
total magnetization	0.000	μB per formula unit
density of states at the Fermi level	2.91	states/eV/cell

```
5
Lattice="-3.144 -0.816 -2.785 -0.141 -4.058 1.348 -2.898 1.083 2.955" Properties=species:S:1:pos:R:3 pbc="T T T"
Sc -0.071 -2.029 0.674
Sc -1.572 -0.408 -1.392
Sc -1.449 0.541 1.477
Re -3.092 -1.896 0.759
O 0.000 0.000 0.000
```



[6]
Entry from Alexandria: a relaxed structure of Sc2Re2O (GGA-PBEsol).

uncorrected formation energy	141	kJ/mol of formula units
total magnetization	0.000	μB per formula unit
density of states at the Fermi level	3.40	states/eV/cell

```
5
Lattice="-4.230 -2.195 1.252 2.404 -2.083 -3.763 3.568 -0.247 3.389" Properties=species:S:1:pos:R:3 pbc="T T T"
Sc 0.580 -2.721 -1.349
Sc 1.162 -1.803 2.227
Re 4.144 -1.616 -0.259
Re 1.828 -0.713 -0.114
O 0.000 0.000 0.000
```



[7]
Entry from Alexandria: a relaxed structure of Sc6ReO12 (GGA-PBEsol).

uncorrected formation energy	-5773	kJ/mol of formula units
total magnetization	1.021	μB per formula unit
density of states at the Fermi level	5.52	states/eV/cell

```
19
Lattice="6.061 0.005 0.006 -0.959 5.985 0.006 -0.959 -1.126 5.878" Properties=species:S:1:pos:R:3 pbc="T T T"
O -1.276 4.635 4.082
O 1.809 0.405 3.452
O 2.983 2.313 1.051
O 1.161 2.552 4.839
O 0.848 5.627 0.567
O 5.420 0.229 1.808
O 4.031 1.825 3.420
O 4.779 4.107 0.258
O 2.335 4.459 2.438
O 0.113 3.040 2.469
O 3.295 -0.762 5.323
O -0.636 0.757 5.632
Sc 2.879 1.371 5.036
Sc 4.169 3.588 2.298
Sc 1.264 3.494 0.854
Sc -0.025 1.277 3.592
Sc 3.248 0.497 1.933
Sc 0.895 4.367 3.957
Re 0.000 0.000 0.000
```



[8]
Entry from Alexandria: a relaxed structure of Sc2ReSnO (GGA-PBEsol).

uncorrected formation energy	-437	kJ/mol of formula units
total magnetization	0.606	μB per formula unit
density of states at the Fermi level	2.84	states/eV/cell

```
5
Lattice="4.152 0.000 0.000 0.000 4.152 0.000 0.000 0.000 4.716" Properties=species:S:1:pos:R:3 pbc="T T T"
Sc 2.076 0.000 0.000
Sc 0.000 2.076 0.000
Sn 0.000 0.000 2.358
O 0.000 0.000 0.000
Re 2.076 2.076 2.358
```



[9]
Entry from Alexandria: a relaxed structure of YScReO2 (GGA-PBEsol).

uncorrected formation energy	-49	kJ/mol of formula units
total magnetization	2.962	μB per formula unit
density of states at the Fermi level	3.40	states/eV/cell

```
5
Lattice="-0.184 -2.801 2.772 3.496 1.166 1.410 -3.348 4.638 4.465" Properties=species:S:1:pos:R:3 pbc="T T T"
O -0.092 -1.401 1.386
O 1.748 0.583 0.705
Sc 0.000 0.000 0.000
Y -1.674 2.319 2.233
Re -0.018 1.502 4.324
```



[10]
Entry from Alexandria: a relaxed structure of ReSe2O (GGA-PBEsol).

uncorrected formation energy	192	kJ/mol of formula units
total magnetization	0.000	μB per formula unit
density of states at the Fermi level	2.40	states/eV/cell

```
4
Lattice="4.274 0.000 0.000 2.137 3.701 0.000 2.137 1.234 3.490" Properties=species:S:1:pos:R:3 pbc="T T T"
Re 4.274 2.468 1.745
O 0.000 0.000 0.000
Se 6.411 3.701 2.617
Se 2.137 1.234 0.872
```



[11]
Entry from Alexandria: a relaxed structure of Re2SiO (GGA-PBEsol).

uncorrected formation energy	53	kJ/mol of formula units
total magnetization	0.001	μB per formula unit
density of states at the Fermi level	7.75	states/eV/cell

```
8
Lattice="-3.843 0.450 -4.957 1.534 -4.276 2.411 -2.674 5.095 2.536" Properties=species:S:1:pos:R:3 pbc="T T T"
Si -2.200 1.796 1.869
Si 0.000 0.000 0.000
O -2.784 -0.527 -1.878
O -3.259 2.772 -1.210
Re -4.990 3.744 -1.090
Re -1.816 -1.852 -0.755
Re -2.390 1.049 -0.730
Re -0.772 -0.403 2.557
```



[12]
Entry from Alexandria: a relaxed structure of ReSiO2 (GGA-PBEsol).

uncorrected formation energy	-472	kJ/mol of formula units
total magnetization	0.001	μB per formula unit
density of states at the Fermi level	1.43	states/eV/cell

```
4
Lattice="2.626 0.000 0.000 1.313 2.274 0.000 1.313 0.758 9.625" Properties=species:S:1:pos:R:3 pbc="T T T"
Re 0.000 0.000 0.000
O 1.313 0.758 5.740
O 3.939 2.274 3.885
Si 2.626 1.516 4.812
```



[13]
Entry from Alexandria: a relaxed structure of Sm3ReO8 (GGA-PBEsol).

uncorrected formation energy	-3300	kJ/mol of formula units
total magnetization	0.000	μB per formula unit
density of states at the Fermi level	0.00	states/eV/cell

```
48
Lattice="6.086 0.000 0.000 0.000 7.285 -0.019 0.000 -2.086 13.648" Properties=species:S:1:pos:R:3 pbc="T T T"
O 4.240 -0.292 7.082
O 5.902 4.355 4.639
O 2.858 3.982 4.448
O 4.854 1.727 3.924
O 0.919 3.300 2.306
O 0.301 3.858 12.408
O 1.848 0.266 0.280
O 3.318 2.316 1.300
O 2.859 5.529 2.155
O 4.889 4.393 0.249
O 1.846 5.491 6.546
O 2.768 2.883 12.328
O 0.185 -0.703 11.281
O 5.167 1.899 11.322
O 3.962 6.584 4.488
O 5.901 5.902 2.347
O 0.184 0.844 8.989
O 3.227 -0.330 11.473
O 3.344 3.941 8.034
O 4.238 4.933 13.348
O 4.891 2.333 6.534
O 2.742 1.258 5.594
O 3.228 1.217 9.180
O 1.195 2.866 7.094
O 1.197 0.806 13.379
O 5.811 4.916 8.114
O 0.275 0.283 5.514
O 2.124 -1.385 9.140
O 1.811 0.873 2.890
O 1.232 3.472 9.705
O 4.275 4.326 10.738
O 5.785 1.341 1.220
Sm 4.504 3.991 2.738
Sm 1.830 0.421 7.549
Sm 4.625 -0.694 9.571
Sm 1.125 2.491 4.553
Sm 1.213 5.106 0.716
Sm 4.961 2.708 9.075
Sm 4.873 0.093 12.912
Sm 1.582 1.208 10.890
Sm 4.168 0.108 2.261
Sm 1.461 5.893 4.057
Sm 1.918 5.091 11.367
Sm 4.256 4.778 6.079
Re 1.498 1.779 1.235
Re 4.541 0.820 5.579
Re 1.545 4.379 8.049
Re 4.588 3.420 12.393
```



[14]
Entry from Alexandria: a relaxed structure of Sm2ReO5 (GGA-PBEsol).

uncorrected formation energy	-2159	kJ/mol of formula units
total magnetization	0.000	μB per formula unit

```
32
Lattice="-4.294 -3.476 -1.487 -1.581 -1.593 8.290 -5.451 6.633 0.235" Properties=species:S:1:pos:R:3 pbc="T T T"
O -9.928 1.786 4.697
O -2.981 2.043 1.622
O -8.859 1.515 2.242
O -7.864 1.099 6.808
O -7.124 4.191 2.102
O -5.663 0.782 3.519
O -6.099 -0.658 5.815
O -4.914 2.300 6.605
O 0.000 0.000 0.000
O -4.371 -0.270 -0.084
O -3.292 -1.890 5.251
O -3.493 0.179 7.457
O -6.136 1.487 0.909
O -6.978 2.987 4.493
O -3.439 -0.686 2.860
O -4.829 -2.998 1.154
O -5.898 -2.727 3.609
O -2.147 -1.738 -0.743
O -4.402 4.163 0.769
O -3.516 2.520 4.263
Sm -3.997 0.432 5.041
Sm -5.723 -0.797 1.872
Sm -8.083 2.804 0.268
Sm -5.178 2.874 2.742
Sm -7.088 3.464 6.879
Sm -2.087 -0.159 0.904
Sm -7.754 0.621 4.422
Sm -5.394 -2.980 6.026
Re -5.069 1.419 -0.694
Re -4.432 -3.744 2.885
Re -2.741 -2.375 3.470
Re -3.378 2.788 -0.109
```



[15]
Entry from Alexandria: a relaxed structure of Sm3Re2O9 (GGA-PBEsol).

uncorrected formation energy	-3544	kJ/mol of formula units
total magnetization	0.000	μB per formula unit
density of states at the Fermi level	4.08	states/eV/cell

```
28
Lattice="-3.122 -3.414 2.949 3.481 -2.749 5.123 -3.114 5.860 8.543" Properties=species:S:1:pos:R:3 pbc="T T T"
O -0.984 1.991 5.308
O -3.711 1.819 7.998
O -1.771 -2.294 11.307
O -0.483 2.831 12.564
O -0.877 -1.363 2.636
O 0.539 -0.807 4.807
O -2.272 -3.133 4.051
O -0.736 -4.023 9.692
O -1.877 1.060 13.980
O -1.206 1.250 7.959
O -2.019 3.720 6.923
O -1.549 -1.553 8.656
O -1.974 2.326 10.414
O 0.956 -2.122 8.618
O -2.422 -0.198 6.167
O -3.294 0.504 11.808
O -0.333 -0.104 10.448
O -0.781 -2.629 6.201
Re -0.354 -2.111 10.090
Re -2.189 1.979 12.306
Re -0.566 -2.281 4.310
Re -2.401 1.808 6.525
Sm 0.017 -0.520 7.139
Sm -0.129 0.959 3.420
Sm -2.626 -1.262 13.196
Sm -2.772 0.217 9.476
Sm 0.187 -4.273 7.589
Sm -2.942 3.970 9.027
```



[16]
Entry from Alexandria: a relaxed structure of Re3SnO (GGA-PBEsol).

uncorrected formation energy	1825	kJ/mol of formula units
excess energy over the best structure of this formula in the dataset	15.63	eV per formula unit
total magnetization	2.937	μB per formula unit
density of states at the Fermi level	8.73	states/eV/cell

```
5
Lattice="4.824 0.000 0.000 0.000 4.824 0.000 0.000 0.000 4.824" Properties=species:S:1:pos:R:3 pbc="T T T"
Re 0.000 2.412 0.000
Re 0.000 0.000 2.412
Re 2.412 0.000 0.000
O 2.412 2.412 2.412
Sn 0.000 0.000 0.000
```



[17]
Entry from Alexandria: a relaxed structure of Re3SnO (GGA-PBEsol).

uncorrected formation energy	317	kJ/mol of formula units
excess energy over the best structure of this formula in the dataset	0.00	eV per formula unit
total magnetization	0.111	μB per formula unit
density of states at the Fermi level	5.92	states/eV/cell

```
5
Lattice="4.130 0.000 0.000 0.000 4.130 0.000 0.000 0.000 4.130" Properties=species:S:1:pos:R:3 pbc="T T T"
Re 0.000 0.000 2.065
Re 2.065 0.000 0.000
Re 0.000 2.065 0.000
O 0.000 0.000 0.000
Sn 2.065 2.065 2.065
```